<w>
ErTm3Os PBE relaxed; theoretical density = 10100 kg/m3; density of states at the Fermi level = 1.0361 states/eV per atom; space group = C2/m, No. 12
1.0
5.782 -4.261 0.000
5.782 4.261 0.000
-5.273 0.000 5.767
Er Tm Os
2 6 2
direct
0.056 0.056 0.352
0.944 0.944 0.648
0.057 0.444 0.203
0.444 0.057 0.203
0.444 0.444 0.741
0.556 0.556 0.259
0.556 0.943 0.797
0.943 0.556 0.797
0.251 0.251 0.876
0.749 0.749 0.124

---

<x>
ErTm3Os PBE relaxed; theoretical density = 10488 kg/m3; density of states at the Fermi level = 1.2668 states/eV per atom; space group = C2/m, No. 12
1.0
8.544 -1.760 0.000
8.544 1.760 0.000
-2.617 0.000 9.101
Er Tm Os
2 6 2
direct
0.193 0.193 0.309
0.807 0.807 0.691
0.186 0.186 0.870
0.401 0.401 0.460
0.499 0.499 0.825
0.501 0.501 0.175
0.599 0.599 0.540
0.814 0.814 0.130
0.362 0.362 0.934
0.638 0.638 0.066

---

Verdict on stability: <x> comes out at the bottom.

---

<w>
Er3TmOs PBE relaxed; theoretical density = 10379 kg/m3; density of states at the Fermi level = 1.2583 states/eV per atom; space group = C2/m, No. 12
1.0
8.575 -1.761 0.000
8.575 1.761 0.000
-2.633 0.000 9.124
Er Tm Os
6 2 2
direct
0.001 0.001 0.176
0.099 0.099 0.538
0.314 0.314 0.132
0.686 0.686 0.868
0.901 0.901 0.462
0.999 0.999 0.824
0.308 0.308 0.693
0.692 0.692 0.307
0.138 0.138 0.066
0.862 0.862 0.934

---

<x>
Er3TmOs PBE relaxed; theoretical density = 9981 kg/m3; density of states at the Fermi level = 1.0215 states/eV per atom; space group = C2/m, No. 12
1.0
5.796 -4.273 0.000
5.796 4.273 0.000
-5.317 0.000 5.783
Er Tm Os
6 2 2
direct
0.056 0.056 0.352
0.057 0.445 0.204
0.445 0.057 0.204
0.555 0.943 0.796
0.943 0.555 0.796
0.944 0.944 0.648
0.444 0.444 0.742
0.556 0.556 0.258
0.250 0.250 0.875
0.750 0.750 0.125

---

Verdict on stability: <w> comes out at the bottom.

---

<w>
YErOs PBE relaxed; theoretical density = 9673 kg/m3; density of states at the Fermi level = 0.4427 states/eV per atom; space group = F-43m, No. 216
1.0
0.000 3.371 3.371
3.371 0.000 3.371
3.371 3.371 0.000
Y Er Os
1 1 1
direct
0.000 0.000 0.000
0.500 0.500 0.500
0.750 0.750 0.750

---

<x>
YErOs PBE relaxed; theoretical density = 9838 kg/m3; density of states at the Fermi level = 0.3772 states/eV per atom; space group = P2_1/c, No. 14
1.0
6.732 0.000 0.000
0.000 6.786 0.000
-5.369 0.000 6.598
Y Er Os
4 4 4
direct
0.236 0.172 0.301
0.236 0.328 0.801
0.764 0.672 0.199
0.764 0.828 0.699
0.266 0.671 0.200
0.266 0.829 0.700
0.734 0.171 0.300
0.734 0.329 0.800
0.257 0.504 0.502
0.257 0.996 0.002
0.743 0.004 0.998
0.743 0.496 0.498

---

Verdict on stability: <x> comes out at the bottom.